PBE-GGA AcTh2Rh5Au, optimized geometry; space-group type = I4/mcm (140); crystal system = tetragonal
1.0
-5.516 -0.570 -6.021
-0.424 -8.093 1.155
-1.645 5.165 6.582
Ac Th Rh Au
2 4 10 2
Direct
0.250 0.250 0.500
0.750 0.750 0.500
0.144 0.356 0.000
0.644 0.144 0.000
0.356 0.856 0.000
0.856 0.644 0.000
0.946 0.446 0.226
0.719 0.219 0.774
0.054 0.554 0.774
0.219 0.054 0.774
0.554 0.719 0.774
0.781 0.946 0.226
0.446 0.281 0.226
0.281 0.781 0.226
0.500 0.500 0.000
0.000 0.000 0.000
0.250 0.750 0.500
0.750 0.250 0.500

=====

PBE-GGA Ac3Er, optimized geometry; space-group type = Cmcm (63); crystal system = orthorhombic
1.0
5.324 0.000 -0.808
0.000 5.327 0.000
-0.851 0.000 12.341
Ac Er
6 2
Direct
0.939 0.750 0.877
0.061 0.250 0.123
0.563 0.750 0.126
0.437 0.250 0.874
0.313 0.750 0.627
0.687 0.250 0.373
0.163 0.750 0.327
0.837 0.250 0.673

=====

no.,energy relative to the elements (meV/atom)
1,-405
2,218